Record 1
DFT (PBE) results for a relaxed BaTl3S crystal.

CIF file:
```
data_BaTl3S
_chemical_formula_sum 'Ba1 Tl3 S1'
_space_group_name_H-M_alt 'P m -3 m'
_space_group_IT_number 221
_space_group_name_Hall '-P 4 2 3'
_cell_length_a 5.754
_cell_length_b 5.754
_cell_length_c 5.754
_cell_angle_alpha 90.00
_cell_angle_beta 90.00
_cell_angle_gamma 90.00
loop_
_atom_site_label
_atom_site_type_symbol
_atom_site_fract_x
_atom_site_fract_y
_atom_site_fract_z
Ba1 Ba 0.000 0.000 0.000
Tl1 Tl 0.000 0.500 0.500
S1 S 0.500 0.500 0.500
```

## Properties
Its energy above the most stable polymorph in this dataset is 0.000 eV/atom. The formation energy from raw total energies is -93.6 meV per atom.

Record 2
DFT (PBE) results for a relaxed Rb3Hg20 crystal.

CIF file:
```
data_Rb3Hg20
_chemical_formula_sum 'Rb6 Hg40'
_space_group_name_H-M_alt 'P m -3 n'
_space_group_IT_number 223
_space_group_name_Hall '-P 4n 2 3'
_cell_length_a 11.458
_cell_length_b 11.458
_cell_length_c 11.458
_cell_angle_alpha 90.00
_cell_angle_beta 90.00
_cell_angle_gamma 90.00
loop_
_atom_site_label
_atom_site_type_symbol
_atom_site_fract_x
_atom_site_fract_y
_atom_site_fract_z
Rb1 Rb 0.000 0.250 0.500
Hg1 Hg 0.000 0.000 0.000
Hg2 Hg 0.000 0.257 0.134
Hg3 Hg 0.000 0.500 0.250
Hg4 Hg 0.250 0.250 0.250
```

## Properties
The formation energy comes out at -0.14 eV per atom.

Record 3
DFT (PBE) results for a relaxed Zr2CrCl crystal.

CIF file:
```
data_Zr2CrCl
_chemical_formula_sum 'Zr6 Cr3 Cl3'
_space_group_name_H-M_alt 'R 3 m'
_space_group_IT_number 160
_space_group_name_Hall 'R 3 -2"'
_cell_length_a 3.2716
_cell_length_b 3.2716
_cell_length_c 28.2904
_cell_angle_alpha 90.00
_cell_angle_beta 90.00
_cell_angle_gamma 120.00
loop_
_atom_site_label
_atom_site_type_symbol
_atom_site_fract_x
_atom_site_fract_y
_atom_site_fract_z
Zr1 Zr 0.0000 0.0000 0.0000
Zr2 Zr 0.0000 0.0000 0.2432
Cr1 Cr 0.0000 0.0000 0.7428
Cl1 Cl 0.0000 0.0000 0.5110
```

## Properties
Its energy above the most stable polymorph in this dataset is 0.249 eV/atom. The formation energy from raw total energies is -152.1 meV per atom.

Record 4
DFT (PBE) results for a relaxed CsKIrF6 crystal.

CIF file:
```
data_CsKIrF6
_chemical_formula_sum 'Cs1 K1 Ir1 F6'
_space_group_name_H-M_alt 'P 3 1 2'
_space_group_IT_number 149
_space_group_name_Hall 'P 3 2'
_cell_length_a 6.4027
_cell_length_b 6.4027
_cell_length_c 5.7642
_cell_angle_alpha 90.00
_cell_angle_beta 90.00
_cell_angle_gamma 120.00
loop_
_atom_site_label
_atom_site_type_symbol
_atom_site_fract_x
_atom_site_fract_y
_atom_site_fract_z
Cs1 Cs 0.0000 0.0000 0.0000
K1 K 0.3333 0.6667 0.5000
Ir1 Ir 0.6667 0.3333 0.5000
F1 F 0.4137 0.0777 0.6941
```

## Properties
The formation energy from raw total energies is -2187.8 meV per atom.

| no. | DOS at the Fermi energy (states/eV/atom) |
| --- | --- |
| 1 | 1.20 |
| 2 | 0.33 |
| 3 | 0.78 |
| 4 | 1.29 |